Record 1
Material: ScTlCu2
Method: DFT, PBE-GGA
State: optimized geometry

The structure belongs to space group P4mm (No. 99); the cell edges are 3.2010, 3.2010 and 6.9796 Å and the angles 90.00°, 90.00° and 90.00°. The distinct sites, in fractional coordinates, are Sc at (0.0000, 0.0000, 0.0000), Tl at (0.5000, 0.5000, 0.3299), Cu at (0.0000, 0.0000, 0.5939) and Cu at (0.5000, 0.5000, 0.7663).

The formation enthalpy at 0 K comes out at -0.01 eV/atom. The value obtained for the total magnetization is 0.00 μB/cell. For the energy, the calculation gives -16.9 eV/cell.

Record 2
Material: Th2PaFeN5
Method: DFT, PBE-GGA
State: optimized geometry

The structure belongs to space group P4/mbm (No. 127); the cell edges are 6.5916, 6.5916 and 5.7476 Å and the angles 90.00°, 90.00° and 90.00°. The distinct sites, in fractional coordinates, are Th at (0.1678, 0.3322, 0.0000), Pa at (0.0000, 0.0000, 0.5000), Fe at (0.0000, 0.5000, 0.5000), N at (0.0000, 0.0000, 0.0000) and N at (0.1514, 0.6514, 0.2812).

The value obtained for the total magnetization is 3.99 μB/cell. For the energy, the calculation gives -167.3 eV/cell.

Record 3
Material: Ni10GeB3
Method: DFT, PBE-GGA
State: optimized geometry

The structure belongs to space group Fm-3m (No. 225); the cell edges are 10.4431, 10.4431 and 10.4431 Å and the angles 90.00°, 90.00° and 90.00°. The distinct sites, in fractional coordinates, are Ni at (0.0000, 0.1664, 0.1664), Ni at (0.1190, 0.1190, 0.3810), Ge at (0.2500, 0.2500, 0.2500) and B at (0.0000, 0.0000, 0.2730).

The formation enthalpy at 0 K comes out at -0.26 eV/atom. The value obtained for the total magnetization is 0.00 μB/cell. For the energy, the calculation gives -689.1 eV/cell.